No. 1
VASP calculation (GGA-PBE) on a relaxed LiTcMo crystal.

a = 2.5501 Å, b = 4.3879 Å, c = 7.7511 Å
α = 90.00°, β = 90.00°, γ = 90.00°
Space group Imm2 (No. 44)
One atom of each set of equivalent atoms:
Li 0.0000 0.0000 0.0000
Tc 0.0000 0.0000 0.3375
Mo 0.0000 0.0000 0.6635

Properties
Formation energy = 0.23 eV per atom
Energy above the lowest structure with this stoichiometry = 80.1 meV/atom
Theoretical density = 7.69 g/cm³
Crystal system = orthorhombic

No. 2
VASP calculation (GGA-PBE) on a relaxed LiTcMo2 crystal.

a = 9.0051 Å, b = 2.5737 Å, c = 5.1792 Å
α = 90.00°, β = 92.32°, γ = 90.00°
Space group Cm (No. 8)
One atom of each set of equivalent atoms:
Li 0.0000 0.0000 0.0000
Tc 0.2472 0.5000 0.2389
Mo 0.0016 0.5000 0.4941
Mo 0.2504 0.0000 0.7594

Properties
Formation energy = 0.35 eV per atom
Energy above the lowest structure with this stoichiometry = 137.4 meV/atom
Theoretical density = 8.22 g/cm³
Crystal system = monoclinic

No. 3
VASP calculation (GGA-PBE) on a relaxed LiTc2Mo crystal.

a = 3.1762 Å, b = 3.1762 Å, c = 5.5539 Å
α = 90.00°, β = 90.00°, γ = 90.00°
Space group P4mm (No. 99)
One atom of each set of equivalent atoms:
Li 0.0000 0.0000 0.0000
Tc 0.0000 0.0000 0.5040
Tc 0.5000 0.5000 0.7830
Mo 0.5000 0.5000 0.2397

Properties
Formation energy = 0.34 eV per atom
Energy above the lowest structure with this stoichiometry = 157.4 meV/atom
Theoretical density = 8.86 g/cm³
Crystal system = tetragonal

No. 4
VASP calculation (GGA-PBE) on a relaxed LiTcMo crystal.

a = 4.3933 Å, b = 4.3933 Å, c = 2.5809 Å
α = 90.00°, β = 90.00°, γ = 120.00°
Space group P3m1 (No. 156)
One atom of each set of equivalent atoms:
Li 0.0000 0.0000 0.0000
Tc 0.3333 0.6667 0.6473
Mo 0.6667 0.3333 0.3794

Properties
Formation energy = 0.15 eV per atom
Energy above the lowest structure with this stoichiometry = 0.0 meV/atom
Theoretical density = 7.73 g/cm³
Crystal system = trigonal

No. 5
VASP calculation (GGA-PBE) on a relaxed LiTcMo2 crystal.

a = 2.7251 Å, b = 2.7251 Å, c = 8.5648 Å
α = 90.00°, β = 90.00°, γ = 90.00°
Space group P4/mmm (No. 123)
One atom of each set of equivalent atoms:
Li 0.0000 0.0000 0.0000
Tc 0.0000 0.0000 0.5000
Mo 0.5000 0.5000 0.2715

Properties
Formation energy = 0.41 eV per atom
Energy above the lowest structure with this stoichiometry = 200.4 meV/atom
Theoretical density = 7.75 g/cm³
Crystal system = tetragonal

No. 6
VASP calculation (GGA-PBE) on a relaxed Li2TcTeMo crystal.

a = 4.9210 Å, b = 4.9210 Å, c = 4.4942 Å
α = 90.00°, β = 90.00°, γ = 90.00°
Space group P4/mmm (No. 123)
One atom of each set of equivalent atoms:
Li 0.0000 0.5000 0.0000
Tc 0.0000 0.0000 0.5000
Te 0.5000 0.5000 0.5000
Mo 0.0000 0.0000 0.0000

Properties
E_form (uncorrected) = 1.055 eV per atom
Theoretical density = 5.12 g/cm³
Crystal system = tetragonal

No. 7
VASP calculation (GGA-PBE) on a relaxed LiTiTcMo2 crystal.

a = 4.2504 Å, b = 4.2504 Å, c = 4.1969 Å
α = 90.00°, β = 90.00°, γ = 90.00°
Space group P4/mmm (No. 123)
One atom of each set of equivalent atoms:
Li 0.0000 0.0000 0.0000
Ti 0.5000 0.5000 0.5000
Tc 0.0000 0.0000 0.5000
Mo 0.0000 0.5000 0.0000

Properties
Formation energy = 1.08 eV per atom
Theoretical density = 7.55 g/cm³
Crystal system = tetragonal

No. 8
VASP calculation (GGA-PBE) on a relaxed LiZnTcMo crystal.

a = 6.1038 Å, b = 6.1038 Å, c = 6.1038 Å
α = 90.00°, β = 90.00°, γ = 90.00°
Space group F-43m (No. 216)
One atom of each set of equivalent atoms:
Li 0.0000 0.0000 0.0000
Zn 0.2500 0.2500 0.2500
Tc 0.0000 0.0000 0.5000
Mo 0.2500 0.2500 0.7500

Properties
Formation energy = 0.13 eV per atom
Theoretical density = 7.78 g/cm³
Crystal system = cubic

| no. | magnetic moment (Bohr magnetons per cell) |
| --- | --- |
| 1 | 0.0 |
| 2 | 0.0 |
| 3 | 0.0 |
| 4 | 0.0 |
| 5 | 0.0 |
| 6 | 0.0 |
| 7 | 0.0 |
| 8 | 0.0 |